1.
KRe2Cl | GGA-PBE | optimized geometry

Values from the calculation:
Its magnetic moment is 0.0000 μB/atom. The calculation puts the formation energy (no corrections) at 0.597 eV/atom. Its calculated density is 9.719 Mg/m³. As for the space-group type: No. 35.

Cell lengths 2.965, 2.965, 9.694 Å; angles 90.00, 90.00, 116.33 degrees
Sites, in units of the cell vectors:
Re  0.500  0.500  0.244
Re  0.000  0.000  0.045
Cl  0.000  0.000  0.484
K  0.500  0.500  0.727



2.
KRe4Cl | GGA-PBE | optimized geometry

Values from the calculation:
Its magnetic moment is 0.0000 μB/atom. The calculation puts the formation energy (no corrections) at 1.430 eV/atom. Its calculated density is 12.190 Mg/m³. As for the space-group type: No. 216.

Cell lengths 5.404, 5.404, 5.404 Å; angles 60.00, 60.00, 60.00 degrees
Sites, in units of the cell vectors:
Re  0.377  0.377  0.377
Re  0.870  0.377  0.377
Re  0.377  0.870  0.377
Re  0.377  0.377  0.870
K  0.000  0.000  0.000
Cl  0.750  0.750  0.750



3.
KRe2Cl | GGA-PBE | optimized geometry

Values from the calculation:
Its magnetic moment is 0.0001 μB/atom. The calculation puts the formation energy (no corrections) at 0.783 eV/atom. Its calculated density is 9.681 Mg/m³. As for the space-group type: No. 71.

Cell lengths 6.586, 6.586, 6.586 Å; angles 155.25, 139.98, 47.63 degrees
Sites, in units of the cell vectors:
Re  0.531  0.531  0.000
Re  0.969  0.969  0.000
K  0.250  0.750  0.500
Cl  0.750  0.250  0.500



4.
K3ReCl6 | GGA-PBE | optimized geometry

Values from the calculation:
Its magnetic moment is 0.2000 μB/atom. The calculation puts the formation energy (no corrections) at -1.317 eV/atom. Its calculated density is 2.916 Mg/m³. As for the space-group type: No. 14.

Cell lengths 7.308, 7.624, 12.654 Å; angles 90.00, 56.51, 90.00 degrees
Sites, in units of the cell vectors:
K  0.784  0.078  0.741
K  0.216  0.922  0.259
K  0.216  0.578  0.759
K  0.500  0.500  0.000
K  0.500  0.000  0.500
K  0.784  0.422  0.241
Cl  0.213  0.169  0.058
Cl  0.319  0.976  0.785
Cl  0.681  0.476  0.715
Cl  0.787  0.831  0.942
Cl  0.319  0.524  0.285
Cl  0.787  0.669  0.442
Cl  0.213  0.331  0.558
Cl  0.105  0.730  0.054
Cl  0.105  0.770  0.554
Cl  0.681  0.024  0.215
Cl  0.895  0.270  0.946
Cl  0.895  0.230  0.446
Re  0.000  0.000  0.000
Re  0.000  0.500  0.500



5.
KRe2Cl | GGA-PBE | optimized geometry

Values from the calculation:
Its magnetic moment is 0.0000 μB/atom. The calculation puts the formation energy (no corrections) at 0.172 eV/atom. Its calculated density is 8.894 Mg/m³. As for the space-group type: No. 38.

Cell lengths 3.101, 3.153, 8.677 Å; angles 79.57, 90.00, 90.00 degrees
Sites, in units of the cell vectors:
Cl  0.000  0.323  0.482
Re  0.500  0.452  0.221
Re  0.000  0.026  0.072
K  0.500  0.700  0.726



6.
K2ReCl | GGA-PBE | optimized geometry

Values from the calculation:
Its magnetic moment is 0.2249 μB/atom. The calculation puts the formation energy (no corrections) at 0.713 eV/atom. Its calculated density is 3.156 Mg/m³. As for the space-group type: No. 122.

Cell lengths 11.902, 11.902, 8.706 Å; angles 46.88, 46.88, 90.00 degrees
Sites, in units of the cell vectors:
K  0.439  0.125  0.250
K  0.875  0.689  0.750
K  0.375  0.561  0.750
K  0.311  0.625  0.250
Re  0.000  0.000  0.000
Re  0.750  0.250  0.500
Cl  0.500  0.500  0.000
Cl  0.250  0.750  0.500



- calculated density of number 1 (KRe2Cl)?
  9.719 Mg/m³



Please write out number 6 again, unchanged.
K2ReCl | GGA-PBE | optimized geometry

Values from the calculation:
Its magnetic moment is 0.2249 μB/atom. The calculation puts the formation energy (no corrections) at 0.713 eV/atom. Its calculated density is 3.156 Mg/m³. As for the space-group type: No. 122.

Cell lengths 11.902, 11.902, 8.706 Å; angles 46.88, 46.88, 90.00 degrees
Sites, in units of the cell vectors:
K  0.439  0.125  0.250
K  0.875  0.689  0.750
K  0.375  0.561  0.750
K  0.311  0.625  0.250
Re  0.000  0.000  0.000
Re  0.750  0.250  0.500
Cl  0.500  0.500  0.000
Cl  0.250  0.750  0.500



- Look up the magnetic moment of the second one.
  0.0000 μB/atom



- What is the calculated density in the sixth record?
  3.156 Mg/m³